No. 1
The following is a PBE calculation of a geometry-optimized YMnNi17 structure, from the Alexandria database.

Computed properties:
Crystal system: trigonal
Space group: R3m

Unit cell a=6.197 b=6.197 c=6.197 alpha=82.82 beta=82.82 gamma=82.82
Sites, in units of the cell vectors:
Y (0.000, 0.000, 0.000)
Mn (0.676, 0.676, 0.676)
Ni (0.043, 0.345, 0.637)
Ni (0.043, 0.637, 0.345)
Ni (0.199, 0.685, 0.685)
Ni (0.245, 0.245, 0.245)
Ni (0.336, 0.336, 0.847)
Ni (0.336, 0.847, 0.336)
Ni (0.345, 0.043, 0.637)
Ni (0.345, 0.637, 0.043)
Ni (0.445, 0.445, 0.445)
Ni (0.506, 0.987, 0.987)
Ni (0.637, 0.043, 0.345)
Ni (0.637, 0.345, 0.043)
Ni (0.685, 0.199, 0.685)
Ni (0.685, 0.685, 0.199)
Ni (0.847, 0.336, 0.336)
Ni (0.987, 0.506, 0.987)
Ni (0.987, 0.987, 0.506)


No. 2
The following is a PBE calculation of a geometry-optimized YMn2Ni structure, from the Alexandria database.

Computed properties:
Crystal system: monoclinic
Space group: C2/m

Unit cell a=4.342 b=4.342 c=5.075 alpha=106.83 beta=106.83 gamma=48.08
Sites, in units of the cell vectors:
Y (0.000, 0.000, 0.000)
Mn (0.220, 0.220, 0.594)
Mn (0.780, 0.780, 0.406)
Ni (0.500, 0.500, 0.500)


No. 3
The following is a PBE calculation of a geometry-optimized Y2MnZn2Ni5 structure, from the Alexandria database.

Computed properties:
Crystal system: tetragonal
Space group: P4/mbm

Unit cell a=9.255 b=9.255 c=3.560 alpha=90.00 beta=90.00 gamma=90.00
Sites, in units of the cell vectors:
Y (0.178, 0.322, 0.000)
Y (0.322, 0.822, 0.000)
Y (0.678, 0.178, 0.000)
Y (0.822, 0.678, 0.000)
Mn (0.000, 0.000, 0.000)
Mn (0.500, 0.500, 0.000)
Zn (0.119, 0.619, 0.000)
Zn (0.381, 0.119, 0.000)
Zn (0.619, 0.881, 0.000)
Zn (0.881, 0.381, 0.000)
Ni (0.000, 0.500, 0.500)
Ni (0.058, 0.800, 0.500)
Ni (0.200, 0.058, 0.500)
Ni (0.300, 0.558, 0.500)
Ni (0.442, 0.300, 0.500)
Ni (0.500, 0.000, 0.500)
Ni (0.558, 0.700, 0.500)
Ni (0.700, 0.442, 0.500)
Ni (0.800, 0.942, 0.500)
Ni (0.942, 0.200, 0.500)


No. 4
The following is a PBE calculation of a geometry-optimized MnZn3Ni structure, from the Alexandria database.

Computed properties:
Crystal system: cubic
Space group: Pm-3m
Excess energy over the best structure of this formula in the dataset in eV/f.u.: 0.00

Unit cell a=4.499 b=4.499 c=4.499 alpha=90.00 beta=90.00 gamma=90.00
Sites, in units of the cell vectors:
Mn (0.000, 0.000, 0.000)
Zn (0.000, 0.500, 0.500)
Zn (0.500, 0.000, 0.500)
Zn (0.500, 0.500, 0.000)
Ni (0.500, 0.500, 0.500)


No. 5
The following is a PBE calculation of a geometry-optimized Mn2ZnNi structure, from the Alexandria database.

Computed properties:
Crystal system: tetragonal
Space group: P4mm

Unit cell a=2.923 b=2.923 c=5.700 alpha=90.00 beta=90.00 gamma=90.00
Sites, in units of the cell vectors:
Mn (0.000, 0.000, 0.000)
Mn (0.500, 0.500, 0.225)
Zn (0.500, 0.500, 0.724)
Ni (0.000, 0.000, 0.475)


No. 6
The following is a PBE calculation of a geometry-optimized Mn2ZnNi structure, from the Alexandria database.

Computed properties:
Crystal system: tetragonal
Space group: I-4m2

Unit cell a=4.615 b=4.615 c=4.615 alpha=132.51 beta=132.51 gamma=69.43
Sites, in units of the cell vectors:
Mn (0.000, 0.000, 0.000)
Mn (0.750, 0.250, 0.500)
Zn (0.250, 0.750, 0.500)
Ni (0.500, 0.500, 0.000)


No. 7
The following is a PBE calculation of a geometry-optimized MnZn2Ni8 structure, from the Alexandria database.

Computed properties:
Crystal system: monoclinic
Space group: C2/m
Excess energy over the best structure of this formula in the dataset in eV/f.u.: 0.00

Unit cell a=7.051 b=7.051 c=4.317 alpha=107.42 beta=107.42 gamma=124.92
Sites, in units of the cell vectors:
Mn (0.000, 0.000, 0.000)
Zn (0.314, 0.686, 0.500)
Zn (0.686, 0.314, 0.500)
Ni (0.104, 0.367, 0.725)
Ni (0.198, 0.802, 0.000)
Ni (0.367, 0.104, 0.725)
Ni (0.471, 0.471, 0.227)
Ni (0.529, 0.529, 0.773)
Ni (0.633, 0.896, 0.275)
Ni (0.802, 0.198, 0.000)
Ni (0.896, 0.633, 0.275)


No. 8
The following is a PBE calculation of a geometry-optimized MnZn2Ni8 structure, from the Alexandria database.

Computed properties:
Crystal system: monoclinic
Space group: C2/m
Excess energy over the best structure of this formula in the dataset in eV/f.u.: 0.47

Unit cell a=6.007 b=6.007 c=3.843 alpha=90.07 beta=90.07 gamma=105.81
Sites, in units of the cell vectors:
Mn (0.000, 0.000, 0.000)
Zn (0.375, 0.625, 0.500)
Zn (0.625, 0.375, 0.500)
Ni (0.037, 0.299, 0.501)
Ni (0.243, 0.757, 0.000)
Ni (0.299, 0.037, 0.501)
Ni (0.330, 0.330, 0.001)
Ni (0.670, 0.670, 0.999)
Ni (0.701, 0.963, 0.499)
Ni (0.757, 0.243, 0.000)
Ni (0.963, 0.701, 0.499)


No. 9
The following is a PBE calculation of a geometry-optimized MnZn2Ni structure, from the Alexandria database.

Computed properties:
Crystal system: tetragonal
Space group: P4/mmm

Unit cell a=3.705 b=3.705 c=3.831 alpha=90.00 beta=90.00 gamma=90.00
Sites, in units of the cell vectors:
Mn (0.000, 0.000, 0.000)
Zn (0.000, 0.500, 0.500)
Zn (0.500, 0.000, 0.500)
Ni (0.500, 0.500, 0.000)


No. 10
The following is a PBE calculation of a geometry-optimized MnZn2Ni structure, from the Alexandria database.

Computed properties:
Crystal system: tetragonal
Space group: I-42d

Unit cell a=5.430 b=5.430 c=5.430 alpha=102.55 beta=102.55 gamma=124.43
Sites, in units of the cell vectors:
Mn (0.000, 0.000, 0.000)
Mn (0.750, 0.250, 0.500)
Zn (0.146, 0.625, 0.021)
Zn (0.375, 0.396, 0.521)
Zn (0.604, 0.125, 0.979)
Zn (0.875, 0.854, 0.479)
Ni (0.250, 0.750, 0.500)
Ni (0.500, 0.500, 0.000)


No. 11
The following is a PBE calculation of a geometry-optimized Mn2ZnNi structure, from the Alexandria database.

Computed properties:
Crystal system: cubic
Space group: F-43m

Unit cell a=4.126 b=4.126 c=4.126 alpha=60.00 beta=60.00 gamma=60.00
Sites, in units of the cell vectors:
Mn (0.000, 0.000, 0.000)
Mn (0.250, 0.250, 0.250)
Zn (0.750, 0.750, 0.750)
Ni (0.500, 0.500, 0.500)


No. 12
The following is a PBE calculation of a geometry-optimized Mn3ZnNi12 structure, from the Alexandria database.

Computed properties:
Crystal system: tetragonal
Space group: P4/mmm

Unit cell a=3.563 b=3.563 c=14.292 alpha=90.00 beta=90.00 gamma=90.00
Sites, in units of the cell vectors:
Mn (0.000, 0.000, 0.000)
Mn (0.000, 0.000, 0.250)
Mn (0.000, 0.000, 0.750)
Zn (0.000, 0.000, 0.500)
Ni (0.000, 0.500, 0.125)
Ni (0.000, 0.500, 0.374)
Ni (0.000, 0.500, 0.626)
Ni (0.000, 0.500, 0.875)
Ni (0.500, 0.000, 0.125)
Ni (0.500, 0.000, 0.374)
Ni (0.500, 0.000, 0.626)
Ni (0.500, 0.000, 0.875)
Ni (0.500, 0.500, 0.000)
Ni (0.500, 0.500, 0.250)
Ni (0.500, 0.500, 0.500)
Ni (0.500, 0.500, 0.750)


No. 13
The following is a PBE calculation of a geometry-optimized Mn2ZnNi structure, from the Alexandria database.

Computed properties:
Crystal system: tetragonal
Space group: P4/mmm

Unit cell a=2.944 b=2.944 c=6.070 alpha=90.00 beta=90.00 gamma=90.00
Sites, in units of the cell vectors:
Mn (0.000, 0.000, 0.237)
Mn (0.000, 0.000, 0.763)
Zn (0.500, 0.500, 0.500)
Ni (0.500, 0.500, 0.000)


No. 14
The following is a PBE calculation of a geometry-optimized MnZnNi2 structure, from the Alexandria database.

Computed properties:
Crystal system: monoclinic
Space group: C2/m

Unit cell a=4.348 b=4.348 c=4.498 alpha=101.09 beta=101.09 gamma=35.86
Sites, in units of the cell vectors:
Mn (0.000, 0.000, 0.000)
Zn (0.500, 0.500, 0.500)
Ni (0.251, 0.251, 0.752)
Ni (0.749, 0.749, 0.248)


No. 15
The following is a PBE calculation of a geometry-optimized MnZnNi2 structure, from the Alexandria database.

Computed properties:
Crystal system: tetragonal
Space group: I-42d

Unit cell a=8.488 b=8.488 c=8.488 alpha=156.14 beta=156.14 gamma=33.99
Sites, in units of the cell vectors:
Mn (0.000, 0.000, 0.000)
Mn (0.750, 0.250, 0.500)
Zn (0.250, 0.750, 0.500)
Zn (0.500, 0.500, 0.000)
Ni (0.117, 0.625, 0.992)
Ni (0.375, 0.367, 0.492)
Ni (0.633, 0.125, 0.008)
Ni (0.875, 0.883, 0.508)


No. 16
The following is a PBE calculation of a geometry-optimized MnZn6Ni5 structure, from the Alexandria database.

Computed properties:
Crystal system: orthorhombic
Space group: Immm

Unit cell a=6.921 b=6.921 c=6.921 alpha=147.73 beta=121.36 gamma=68.53
Sites, in units of the cell vectors:
Mn (0.000, 0.000, 0.000)
Zn (0.089, 0.830, 0.259)
Zn (0.266, 0.500, 0.766)
Zn (0.430, 0.170, 0.259)
Zn (0.570, 0.830, 0.741)
Zn (0.734, 0.500, 0.234)
Zn (0.911, 0.170, 0.741)
Ni (0.158, 0.658, 0.500)
Ni (0.328, 0.328, 0.000)
Ni (0.500, 0.000, 0.500)
Ni (0.672, 0.672, 0.000)
Ni (0.842, 0.342, 0.500)


No. 17
The following is a PBE calculation of a geometry-optimized Mn2ZnNi structure, from the Alexandria database.

Computed properties:
Crystal system: monoclinic
Space group: Cm

Unit cell a=2.592 b=2.592 c=8.644 alpha=98.70 beta=98.70 gamma=59.96
Sites, in units of the cell vectors:
Mn (0.000, 0.000, 0.000)
Mn (0.174, 0.174, 0.520)
Zn (0.420, 0.420, 0.260)
Ni (0.587, 0.587, 0.760)


No. 18
The following is a PBE calculation of a geometry-optimized MnZn2Ni3 structure, from the Alexandria database.

Computed properties:
Crystal system: tetragonal
Space group: P4/mmm
Excess energy over the best structure of this formula in the dataset in eV/f.u.: 0.02

Unit cell a=2.931 b=2.931 c=8.490 alpha=90.00 beta=90.00 gamma=90.00
Sites, in units of the cell vectors:
Mn (0.000, 0.000, 0.000)
Zn (0.000, 0.000, 0.333)
Zn (0.000, 0.000, 0.667)
Ni (0.500, 0.500, 0.164)
Ni (0.500, 0.500, 0.500)
Ni (0.500, 0.500, 0.836)


No. 19
The following is a PBE calculation of a geometry-optimized MnZn2Ni structure, from the Alexandria database.

Computed properties:
Crystal system: cubic
Space group: F-43m

Unit cell a=4.192 b=4.192 c=4.192 alpha=60.00 beta=60.00 gamma=60.00
Sites, in units of the cell vectors:
Mn (0.000, 0.000, 0.000)
Zn (0.250, 0.250, 0.250)
Zn (0.500, 0.500, 0.500)
Ni (0.750, 0.750, 0.750)


No. 20
The following is a PBE calculation of a geometry-optimized MnZn2Ni structure, from the Alexandria database.

Computed properties:
Crystal system: trigonal
Space group: R3m

Unit cell a=8.781 b=8.781 c=8.781 alpha=17.34 beta=17.34 gamma=17.34
Sites, in units of the cell vectors:
Mn (0.000, 0.000, 0.000)
Zn (0.511, 0.511, 0.511)
Zn (0.750, 0.750, 0.750)
Ni (0.257, 0.257, 0.257)


No. 21
The following is a PBE calculation of a geometry-optimized MnZn3Ni12 structure, from the Alexandria database.

Computed properties:
Crystal system: tetragonal
Space group: P4/mmm

Unit cell a=3.574 b=3.574 c=14.285 alpha=90.00 beta=90.00 gamma=90.00
Sites, in units of the cell vectors:
Mn (0.000, 0.000, 0.000)
Zn (0.000, 0.000, 0.250)
Zn (0.000, 0.000, 0.500)
Zn (0.000, 0.000, 0.750)
Ni (0.000, 0.500, 0.124)
Ni (0.000, 0.500, 0.375)
Ni (0.000, 0.500, 0.625)
Ni (0.000, 0.500, 0.876)
Ni (0.500, 0.000, 0.124)
Ni (0.500, 0.000, 0.375)
Ni (0.500, 0.000, 0.625)
Ni (0.500, 0.000, 0.876)
Ni (0.500, 0.500, 0.000)
Ni (0.500, 0.500, 0.249)
Ni (0.500, 0.500, 0.500)
Ni (0.500, 0.500, 0.751)


No. 22
The following is a PBE calculation of a geometry-optimized Mn2Zn2Ni15 structure, from the Alexandria database.

Computed properties:
Crystal system: trigonal
Space group: R-3m

Unit cell a=6.191 b=6.191 c=6.191 alpha=81.96 beta=81.96 gamma=81.96
Sites, in units of the cell vectors:
Mn (0.140, 0.140, 0.140)
Mn (0.860, 0.860, 0.860)
Zn (0.396, 0.396, 0.396)
Zn (0.604, 0.604, 0.604)
Ni (0.000, 0.500, 0.500)
Ni (0.153, 0.153, 0.664)
Ni (0.153, 0.664, 0.153)
Ni (0.187, 0.500, 0.813)
Ni (0.187, 0.813, 0.500)
Ni (0.336, 0.847, 0.847)
Ni (0.500, 0.000, 0.500)
Ni (0.500, 0.187, 0.813)
Ni (0.500, 0.500, 0.000)
Ni (0.500, 0.813, 0.187)
Ni (0.664, 0.153, 0.153)
Ni (0.813, 0.187, 0.500)
Ni (0.813, 0.500, 0.187)
Ni (0.847, 0.336, 0.847)
Ni (0.847, 0.847, 0.336)


No. 23
The following is a PBE calculation of a geometry-optimized Mn2ZnNi6 structure, from the Alexandria database.

Computed properties:
Crystal system: trigonal
Space group: P-3m1

Unit cell a=4.926 b=4.926 c=5.414 alpha=90.00 beta=90.00 gamma=120.00
Sites, in units of the cell vectors:
Mn (0.333, 0.667, 0.145)
Mn (0.667, 0.333, 0.855)
Zn (0.000, 0.000, 0.000)
Ni (0.176, 0.352, 0.670)
Ni (0.176, 0.824, 0.670)
Ni (0.352, 0.176, 0.330)
Ni (0.648, 0.824, 0.670)
Ni (0.824, 0.176, 0.330)
Ni (0.824, 0.648, 0.330)


No. 24
The following is a PBE calculation of a geometry-optimized Mn3ZnNi structure, from the Alexandria database.

Computed properties:
Crystal system: cubic
Space group: Pm-3m
Excess energy over the best structure of this formula in the dataset in eV/f.u.: 0.00

Unit cell a=4.519 b=4.519 c=4.519 alpha=90.00 beta=90.00 gamma=90.00
Sites, in units of the cell vectors:
Mn (0.000, 0.000, 0.500)
Mn (0.000, 0.500, 0.000)
Mn (0.500, 0.000, 0.000)
Zn (0.500, 0.500, 0.500)
Ni (0.000, 0.000, 0.000)


no.,M_tot (μB/f.u.),DFT formation energy (eV per atom)
1,12.901,-0.03
2,1.165,0.22
3,4.066,-0.21
4,4.558,0.44
5,1.749,-0.03
6,7.442,0.09
7,6.520,0.07
8,5.664,0.12
9,3.574,-0.06
10,3.800,0.27
11,1.248,-0.02
12,15.326,-0.11
13,7.569,0.02
14,4.181,-0.06
15,0.000,0.51
16,3.539,-0.19
17,5.542,0.16
18,4.371,-0.17
19,3.647,-0.06
20,3.112,0.04
21,8.326,-0.11
22,14.971,0.06
23,10.581,0.13
24,12.635,0.79